Crystalline PrYNb at its relaxed geometry. Source: Alexandria via LeMat-Bulk, functional PBE-GGA.

Cell lengths 3.5472, 3.5472, 13.5793 Å; angles 90.00, 90.00, 90.00 degrees
With the nearest neighbours (Å) after each atom.
Space group P4/nmm (No. 129, origin choice 2)
Inequivalent atoms, fractional coordinates:
Pr  0.2500  0.2500  0.0991 (multiplicity 2)  8 Pr 3.55-3.68, 4 Y 3.76
Y  0.2500  0.2500  0.6950 (multiplicity 2)  5 Nb 3.23-3.27, 4 Y 3.55
Nb  0.2500  0.2500  0.4544 (multiplicity 2)  4 Nb 2.80

Values from the calculation:
The total magnetic moment is 0.00 μB/cell. The formation energy is 0.096 eV per atom. The raw total energy is -7.009 eV/atom. As for the density of states at the Fermi level: 1.40 states/eV per atom.


Crystalline KB at its relaxed geometry. Source: Alexandria via LeMat-Bulk, functional PBE-GGA.

Cell lengths 5.3788, 5.3788, 3.2416 Å; angles 90.00, 90.00, 120.00 degrees
With the nearest neighbours (Å) after each atom.
Space group P6_3mc (No. 186)
Inequivalent atoms, fractional coordinates:
K  0.3333  0.6667  0.0000 (multiplicity 2)  6 B 3.19-3.23, 8 K 3.24-3.50
B  0.0000  0.0000  0.2289 (multiplicity 2)  2 B 1.62

Values from the calculation:
The total magnetic moment is 0.00 μB/cell. The energy above the most stable polymorph in this dataset is 0.044 eV/atom. The formation energy is 0.290 eV per atom. The raw total energy is -3.598 eV/atom. As for the density of states at the Fermi level: 0.33 states/eV per atom.